1.
Computed, not measured: an optimized crystal structure of NbOsRu4 at the GGA-PBE level of DFT.

a b c (Å): 6.532 6.532 5.107
angles (deg): 110.01 110.01 102.23
Sites, in units of the cell vectors:
Nb 0.185 0.815 0.750
Nb 0.815 0.185 0.250
Os 0.083 0.917 0.250
Os 0.917 0.083 0.750
Ru 0.148 0.515 0.244
Ru 0.265 0.406 0.764
Ru 0.406 0.265 0.264
Ru 0.485 0.852 0.256
Ru 0.515 0.148 0.744
Ru 0.594 0.735 0.736
Ru 0.735 0.594 0.236
Ru 0.852 0.485 0.756

Summary:
total magnetic moment: 0.00 μB per atom
crystal system: monoclinic
ΔH_f (0 K): 50.1 kJ/mol of formula units



2.
Computed, not measured: an optimized crystal structure of Nb2OsRu4 at the GGA-PBE level of DFT.

a b c (Å): 7.143 7.143 7.143
angles (deg): 141.92 141.92 54.96
Sites, in units of the cell vectors:
Nb 0.123 0.123 0.000
Nb 0.877 0.877 0.000
Os 0.500 0.500 0.000
Ru 0.000 0.500 0.500
Ru 0.299 0.299 0.000
Ru 0.500 0.000 0.500
Ru 0.701 0.701 0.000

Summary:
total magnetic moment: 0.00 μB per atom
crystal system: tetragonal
ΔH_f (0 K): 855.0 kJ/mol of formula units



3.
Computed, not measured: an optimized crystal structure of Nb3OsRu3 at the GGA-PBE level of DFT.

a b c (Å): 6.373 6.373 5.717
angles (deg): 90.00 90.00 92.64
Sites, in units of the cell vectors:
Nb 0.160 0.840 0.000
Nb 0.180 0.180 0.500
Nb 0.278 0.722 0.500
Nb 0.722 0.278 0.500
Nb 0.820 0.820 0.500
Nb 0.840 0.160 0.000
Os 0.241 0.241 0.000
Os 0.759 0.759 0.000
Ru 0.000 0.500 0.245
Ru 0.000 0.500 0.755
Ru 0.500 0.000 0.245
Ru 0.500 0.000 0.755
Ru 0.500 0.500 0.231
Ru 0.500 0.500 0.769

Summary:
total magnetic moment: 0.00 μB per atom
crystal system: orthorhombic
ΔH_f (0 K): -7.3 kJ/mol of formula units



4.
Computed, not measured: an optimized crystal structure of Nb2Os3Ru at the GGA-PBE level of DFT.

a b c (Å): 7.112 7.112 4.860
angles (deg): 90.00 90.00 60.79
Sites, in units of the cell vectors:
Nb 0.028 0.696 0.750
Nb 0.304 0.972 0.750
Nb 0.696 0.028 0.250
Nb 0.972 0.304 0.250
Os 0.101 0.899 0.250
Os 0.309 0.309 0.000
Os 0.309 0.309 0.500
Os 0.691 0.691 0.000
Os 0.691 0.691 0.500
Os 0.899 0.101 0.750
Ru 0.434 0.566 0.250
Ru 0.566 0.434 0.750

Summary:
total magnetic moment: 0.00 μB per atom
crystal system: orthorhombic
ΔH_f (0 K): 283.3 kJ/mol of formula units